Density functional theory data (PBE) for a geometry-optimized Tb8Dy3Sc3 structure.

As for the crystal system: orthorhombic. As for the electronic total energy: -129.18 eV for the cell shown.

It has space group Immm (No. 71), with a = 5.320 Å, b = 9.606 Å, c = 17.214 Å, α = 90.00°, β = 90.00° and γ = 90.00°. The distinct sites, in fractional coordinates, are Tb at (0.000, 0.155, 0.201), Tb at (0.000, 0.234, 0.378), Dy at (0.000, 0.000, 0.500), Dy at (0.000, 0.247, 0.000), Sc at (0.000, 0.500, 0.167) and Sc at (0.000, 0.500, 0.500).

***

Density functional theory data (PBE) for a geometry-optimized Tb6Dy2Sc3 structure.

As for the crystal system: triclinic. As for the electronic total energy: -55.50 eV for the cell shown.

It has space group P-1 (No. 2), with a = 6.027 Å, b = 7.764 Å, c = 7.777 Å, α = 107.60°, β = 104.98° and γ = 97.55°. The distinct sites, in fractional coordinates, are Tb at (0.092, 0.322, 0.361), Tb at (0.182, 0.146, 0.732), Tb at (0.275, 0.953, 0.090), Dy at (0.364, 0.768, 0.453), Sc at (0.000, 0.500, 0.000) and Sc at (0.455, 0.588, 0.823).

***

Density functional theory data (PBE) for a geometry-optimized Tb5DySc3 structure.

As for the crystal system: monoclinic. As for the electronic total energy: -170.01 eV for the cell shown.

It has space group C2/m (No. 12), with a = 14.577 Å, b = 11.190 Å, c = 9.532 Å, α = 90.00°, β = 129.54° and γ = 90.00°. The distinct sites, in fractional coordinates, are Tb at (0.000, 0.245, 0.000), Tb at (0.137, 0.247, 0.740), Tb at (0.219, 0.500, 0.036), Tb at (0.224, 0.000, 0.236), Dy at (0.246, 0.000, 0.594), Sc at (0.000, 0.000, 0.500), Sc at (0.000, 0.500, 0.000), Sc at (0.011, 0.000, 0.822) and Sc at (0.019, 0.500, 0.362).

***

Question: Among the records above, which one has the lowest electronic total energy?
Answer: Tb5DySc3

***

Question: The lowest electronic total energy belongs to which entry?
Answer: Tb5DySc3

***

Question: Which of these has the highest electronic total energy?
Answer: Tb6Dy2Sc3